Here is an optimized crystal structure of BaHCl2 from Alexandria via LeMat-Bulk. Energies are from PBE.

Output
The final energy comes out at -3.3801 eV per atom. The total magnetization comes out at 2.00 μB/cell. The density is 2.18 g/cm³.

a b c (Å): 6.1679 6.1679 9.4484
angles (deg): 70.95 70.95 90.00
With the nearest neighbours (Å) after each atom.
Atoms (fractional coordinates):
Ba (0.0000, 0.0000, 0.0000)  4 Cl 2.97
H (0.2500, 0.7500, 0.5000)  4 Cl 3.08
Ba (0.7500, 0.2500, 0.5000)  4 Cl 2.97
H (0.5000, 0.5000, 0.0000)  4 Cl 3.08
Cl (0.6422, 0.1250, 0.2500)  2 Ba 2.97, 2 H 3.08
Cl (0.1078, 0.6250, 0.2500)  2 Ba 2.97, 2 H 3.08
Cl (0.3750, 0.3578, 0.7500)  2 Ba 2.97, 2 H 3.08
Cl (0.8750, 0.8922, 0.7500)  2 Ba 2.97, 2 H 3.08